{
  "formula": "KNaZn2Ag",
  "functional": "PBE",
  "state": "relaxed",
  "lattice": [[5.1148, 0.0000, 0.0000], [0.0000, 5.1148, 0.0000], [0.0000, 0.0000, 5.5942]],
  "species": ["Na", "Zn", "Zn", "K", "Ag"],
  "frac_coords": [[0.0000, 0.0000, 0.5000], [0.0000, 0.5000, 0.0000], [0.5000, 0.0000, 0.0000], [0.5000, 0.5000, 0.5000], [0.0000, 0.0000, 0.0000]],
  "n_ef_per_ev_fu": 1.9,
  "sg": "P4/mmm",
  "energy_ry_per_atom": -0.108,
  "ef_ev_per_fu": 0.5
}

{
  "formula": "PrY2Cl",
  "functional": "PBE",
  "state": "relaxed",
  "lattice": [[-0.4060, -2.3406, 2.5463], [2.7590, -1.7355, 1.2258], [2.4388, 6.6715, 8.9026]],
  "species": ["Pr", "Y", "Y", "Cl"],
  "frac_coords": [[0.0000, 0.0000, 0.0000], [0.1016, 0.1016, 0.6952], [0.8984, 0.8984, 0.3048], [0.5000, 0.5000, 0.5000]],
  "n_ef_per_ev_fu": 6.6,
  "formation_energy_uncorrected_kj_per_mol_atoms": -39.34,
  "sg": "R-3m",
  "energy_ry_per_atom": -0.389
}

{
  "formula": "RbMnSnTe3",
  "functional": "PBE",
  "state": "relaxed",
  "lattice": [[4.3797, 0.0000, 0.0000], [0.0000, 10.3276, -0.3185], [0.0000, -3.0227, 10.2042]],
  "species": ["Rb", "Rb", "Mn", "Mn", "Sn", "Sn", "Te", "Te", "Te", "Te", "Te", "Te"],
  "frac_coords": [[0.2500, 0.1976, 0.2364], [0.7500, 0.8024, 0.7636], [0.2500, 0.0760, 0.6039], [0.7500, 0.9240, 0.3961], [0.2500, 0.6582, 0.1270], [0.7500, 0.3418, 0.8730], [0.7500, 0.8759, 0.1352], [0.2500, 0.1241, 0.8648], [0.2500, 0.8002, 0.4675], [0.7500, 0.1998, 0.5325], [0.7500, 0.4650, 0.1658], [0.2500, 0.5350, 0.8342]],
  "n_ef_per_ev_fu": 3.2,
  "formation_energy_uncorrected_kj_per_mol_atoms": -39.55,
  "sg": "P2_1/m",
  "energy_ry_per_atom": -0.319
}

{
  "formula": "Tl2TcOs",
  "functional": "PBE",
  "state": "relaxed",
  "lattice": [[0.0000, 3.3238, 3.3238], [3.3238, 0.0000, 3.3238], [3.3238, 3.3238, 0.0000]],
  "species": ["Tl", "Tl", "Os", "Tc"],
  "frac_coords": [[0.2500, 0.2500, 0.2500], [0.7500, 0.7500, 0.7500], [0.5000, 0.5000, 0.5000], [0.0000, 0.0000, 0.0000]],
  "n_ef_per_ev_fu": 3.9,
  "de_polymorph_kj_per_mol_atoms": 60.3,
  "sg": "Fm-3m",
  "energy_ry_per_atom": -0.405,
  "ef_ev_per_fu": 4.3
}

{
  "formula": "NbBi2O5F",
  "functional": "PBE",
  "state": "relaxed",
  "lattice": [[5.5081, 0.0000, 0.0000], [0.0000, 5.5024, 0.0000], [0.0000, 0.0000, 17.2242]],
  "species": ["Nb", "Nb", "Nb", "Nb", "Bi", "Bi", "Bi", "Bi", "Bi", "Bi", "Bi", "Bi", "O", "O", "O", "O", "O", "O", "O", "O", "O", "O", "O", "O", "O", "O", "O", "O", "O", "O", "O", "O", "F", "F", "F", "F"],
  "frac_coords": [[0.2511, 0.2343, 0.7365], [0.7489, 0.7343, 0.7635], [0.7511, 0.2657, 0.2635], [0.2489, 0.7657, 0.2365], [0.8132, 0.2642, 0.5739], [0.1868, 0.7642, 0.9261], [0.3132, 0.2358, 0.4261], [0.6868, 0.7358, 0.0739], [0.7050, 0.2248, 0.9251], [0.2950, 0.7248, 0.5749], [0.2050, 0.2752, 0.0749], [0.7950, 0.7752, 0.4251], [0.0366, 0.5092, 0.4975], [0.9634, 0.0092, 0.0025], [0.5366, 0.9908, 0.5025], [0.4634, 0.4908, 0.9975], [0.4623, 0.9965, 0.0014], [0.5377, 0.4965, 0.4986], [0.9623, 0.5035, 0.9986], [0.0377, 0.0035, 0.5014], [0.0314, 0.4701, 0.2687], [0.9686, 0.9701, 0.2313], [0.5314, 0.0299, 0.7313], [0.4686, 0.5299, 0.7687], [0.4756, 0.0274, 0.2275], [0.5244, 0.5274, 0.2725], [0.9756, 0.4726, 0.7725], [0.0244, 0.9726, 0.7275], [0.2269, 0.3300, 0.6305], [0.7731, 0.8300, 0.8695], [0.7269, 0.1700, 0.3695], [0.2731, 0.6700, 0.1305], [0.2581, 0.1736, 0.8656], [0.7419, 0.6736, 0.6344], [0.7581, 0.3264, 0.1344], [0.2419, 0.8264, 0.3656]],
  "n_ef_per_ev_fu": 0.0,
  "de_polymorph_kj_per_mol_atoms": 0.5,
  "formation_energy_uncorrected_kj_per_mol_atoms": -190.27,
  "sg": "P2_12_12_1",
  "energy_ry_per_atom": -0.508
}

{
  "formula": "Hf3TiCo",
  "functional": "PBE",
  "state": "relaxed",
  "lattice": [[-3.3263, 0.4867, 3.4359], [3.0343, -1.9016, 3.2068], [1.6840, 4.3879, 1.0086]],
  "species": ["Co", "Hf", "Hf", "Hf", "Ti"],
  "frac_coords": [[0.5000, 0.5000, 0.5000], [0.0000, 0.5000, 0.0000], [0.0000, 0.0000, 0.5000], [0.5000, 0.0000, 0.0000], [0.0000, 0.0000, 0.0000]],
  "n_ef_per_ev_fu": 6.0,
  "de_polymorph_kj_per_mol_atoms": 129.0,
  "sg": "Pm-3m",
  "energy_ry_per_atom": -0.566,
  "ef_ev_per_fu": 6.4
}

{
  "formula": "Mg2VS",
  "functional": "PBE",
  "state": "relaxed",
  "lattice": [[8.0114, 0.0000, 0.0000], [0.0000, 8.0114, 0.0000], [4.0057, 4.0057, 2.5244]],
  "species": ["S", "S", "Mg", "Mg", "Mg", "Mg", "V", "V"],
  "frac_coords": [[0.5000, 0.5000, 0.0000], [0.2500, 0.7500, 0.5000], [0.5513, 0.1250, 0.2500], [0.1987, 0.6250, 0.2500], [0.3750, 0.4487, 0.7500], [0.8750, 0.8013, 0.7500], [0.0000, 0.0000, 0.0000], [0.7500, 0.2500, 0.5000]],
  "n_ef_per_ev_fu": 3.2,
  "formation_energy_uncorrected_kj_per_mol_atoms": 0.37,
  "sg": "I-42d",
  "energy_ry_per_atom": -0.302
}

{
  "formula": "La6Y2Tm",
  "functional": "PBE",
  "state": "relaxed",
  "lattice": [[-2.5268, 2.6906, 0.3845], [-5.3370, -5.9054, 6.2528], [1.2803, -0.2320, 10.0380]],
  "species": ["La", "La", "La", "La", "La", "La", "Y", "Y", "Tm"],
  "frac_coords": [[0.0000, 0.5043, 0.1639], [0.0000, 0.8361, 0.4957], [0.0000, 0.4957, 0.8361], [0.5000, 0.6812, 0.3188], [0.0000, 0.1639, 0.5043], [0.5000, 0.3188, 0.6812], [0.5000, 0.1704, 0.1704], [0.5000, 0.8296, 0.8296], [0.0000, 0.0000, 0.0000]],
  "n_ef_per_ev_fu": 13.1,
  "de_polymorph_kj_per_mol_atoms": 5.5,
  "sg": "Cmmm",
  "energy_ry_per_atom": -0.375,
  "ef_ev_per_fu": 1.0
}

{
  "formula": "Tb3Ho6In",
  "functional": "PBE",
  "state": "relaxed",
  "lattice": [[5.5377, 0.0000, 0.0000], [0.0000, 8.9485, -3.4957], [0.0000, -0.6682, 12.6567]],
  "species": ["Tb", "Tb", "Tb", "Tb", "Tb", "Tb", "Ho", "Ho", "Ho", "Ho", "Ho", "Ho", "Ho", "Ho", "Ho", "Ho", "Ho", "Ho", "In", "In"],
  "frac_coords": [[0.7500, 0.8459, 0.3707], [0.2500, 0.1541, 0.6293], [0.7500, 0.3788, 0.7787], [0.2500, 0.6212, 0.2213], [0.7500, 0.2013, 0.9732], [0.2500, 0.7987, 0.0268], [0.7500, 0.6087, 0.0696], [0.2500, 0.3913, 0.9304], [0.7500, 0.0222, 0.1739], [0.2500, 0.9778, 0.8261], [0.7500, 0.9763, 0.6694], [0.2500, 0.0237, 0.3306], [0.7500, 0.2486, 0.4880], [0.2500, 0.7514, 0.5120], [0.7500, 0.4516, 0.2978], [0.2500, 0.5484, 0.7022], [0.7500, 0.7873, 0.8614], [0.2500, 0.2127, 0.1386], [0.7500, 0.6158, 0.5837], [0.2500, 0.3842, 0.4163]],
  "n_ef_per_ev_fu": 14.7,
  "de_polymorph_kj_per_mol_atoms": 0.0,
  "sg": "P2_1/m",
  "energy_ry_per_atom": -0.329,
  "ef_ev_per_fu": -0.7
}

{
  "formula": "Ac2Sn3Rh",
  "functional": "PBE",
  "state": "relaxed",
  "lattice": [[4.5103, 0.0000, 1.8889], [1.9725, 5.8717, 1.6193], [-0.0557, -0.0007, 6.4622]],
  "species": ["Ac", "Ac", "Sn", "Sn", "Sn", "Rh"],
  "frac_coords": [[0.5500, 0.1863, 0.7136], [0.4269, 0.8358, 0.3105], [0.8784, 0.5949, 0.6482], [0.7972, 0.2783, 0.1273], [0.1737, 0.7294, 0.9232], [0.1737, 0.3752, 0.2774]],
  "n_ef_per_ev_fu": 4.7,
  "de_polymorph_kj_per_mol_atoms": 1.0,
  "sg": "Cm",
  "energy_ry_per_atom": -0.387,
  "ef_ev_per_fu": -4.0
}

{
  "formula": "Y3Be2AlPt9",
  "functional": "PBE",
  "state": "relaxed",
  "lattice": [[-0.6284, 5.1437, -2.4759], [-4.1044, -3.9777, -0.5612], [-4.1993, 3.2345, 7.7857]],
  "species": ["Y", "Y", "Y", "Be", "Be", "Al", "Pt", "Pt", "Pt", "Pt", "Pt", "Pt", "Pt", "Pt", "Pt"],
  "frac_coords": [[0.3333, 0.6667, 0.6045], [0.0000, 0.0000, 0.0000], [0.6667, 0.3333, 0.3955], [0.3333, 0.6667, 0.1528], [0.6667, 0.3333, 0.8472], [0.0000, 0.0000, 0.5000], [0.8354, 0.1646, 0.6976], [0.8354, 0.6708, 0.6976], [0.3292, 0.1646, 0.6976], [0.6708, 0.8354, 0.3024], [0.1646, 0.3292, 0.3024], [0.1646, 0.8354, 0.3024], [0.5000, 0.0000, 0.0000], [0.0000, 0.5000, 0.0000], [0.5000, 0.5000, 0.0000]],
  "n_ef_per_ev_fu": 6.1,
  "sg": "P-3m1",
  "energy_ry_per_atom": -0.482,
  "ef_ev_per_fu": -13.4
}

{
  "formula": "InTeRhN2",
  "functional": "PBE",
  "state": "relaxed",
  "lattice": [[4.1095, 0.0000, 0.0000], [0.0000, 4.1095, 0.0000], [0.0000, 0.0000, 6.3318]],
  "species": ["N", "N", "Te", "Rh", "In"],
  "frac_coords": [[0.0000, 0.5000, 0.0000], [0.5000, 0.0000, 0.0000], [0.0000, 0.0000, 0.5000], [0.5000, 0.5000, 0.5000], [0.0000, 0.0000, 0.0000]],
  "n_ef_per_ev_fu": 4.6,
  "de_polymorph_kj_per_mol_atoms": 61.5,
  "formation_energy_uncorrected_kj_per_mol_atoms": 160.61,
  "sg": "P4/mmm",
  "energy_ry_per_atom": -0.317
}

{
  "formula": "Ho2ZrNbN4",
  "functional": "PBE",
  "state": "relaxed",
  "lattice": [[3.2870, 0.0000, 0.0000], [0.0000, 5.7048, 0.0971], [0.0000, -1.9971, 5.4159]],
  "species": ["Ho", "Ho", "Zr", "Nb", "N", "N", "N", "N"],
  "frac_coords": [[0.5000, 0.0000, 0.5000], [0.0000, 0.5000, 0.5000], [0.5000, 0.5000, 0.0000], [0.0000, 0.0000, 0.0000], [0.5000, 0.2415, 0.2328], [0.5000, 0.7585, 0.7672], [0.0000, 0.2540, 0.7651], [0.0000, 0.7460, 0.2349]],
  "n_ef_per_ev_fu": 2.2,
  "formation_energy_uncorrected_kj_per_mol_atoms": -150.00,
  "sg": "P2/m",
  "energy_ry_per_atom": -0.675
}

{
  "formula": "CsNa8Hg2",
  "functional": "PBE",
  "state": "relaxed",
  "lattice": [[-5.0467, -2.3009, 4.5249], [3.3589, -6.2976, 0.5441], [6.7308, 8.1767, 6.0030]],
  "species": ["Cs", "Na", "Na", "Na", "Na", "Na", "Na", "Na", "Na", "Hg", "Hg"],
  "frac_coords": [[0.5000, 0.5000, 0.0000], [0.9178, 0.9178, 0.3346], [0.0822, 0.0822, 0.6654], [0.5832, 0.5832, 0.6654], [0.5832, 0.0822, 0.6654], [0.4168, 0.4168, 0.3346], [0.4168, 0.9178, 0.3346], [0.9178, 0.4168, 0.3346], [0.0822, 0.5832, 0.6654], [0.2500, 0.7500, 0.5000], [0.7500, 0.2500, 0.5000]],
  "n_ef_per_ev_fu": 5.8,
  "sg": "I4/mmm",
  "energy_ry_per_atom": -0.080,
  "ef_ev_per_fu": 0.0
}

{
  "formula": "SrCa2Ga2",
  "functional": "PBE",
  "state": "relaxed",
  "lattice": [[-0.7408, 3.9331, -2.8352], [2.3717, -2.2076, -3.6822], [-4.8251, -1.7076, -5.3507]],
  "species": ["Sr", "Ca", "Ca", "Ga", "Ga"],
  "frac_coords": [[0.0000, 0.0000, 0.0000], [0.7500, 0.2500, 0.5000], [0.2500, 0.7500, 0.5000], [0.4050, 0.4050, 0.1901], [0.5950, 0.5950, 0.8099]],
  "n_ef_per_ev_fu": 4.4,
  "de_polymorph_kj_per_mol_atoms": 3.2,
  "sg": "I4/mmm",
  "energy_ry_per_atom": -0.194,
  "ef_ev_per_fu": -1.5
}

{
  "formula": "PmY4",
  "functional": "PBE",
  "state": "relaxed",
  "lattice": [[5.6469, 0.0000, 0.0000], [0.0000, 5.6469, 0.0000], [0.0000, 0.0000, 5.6469]],
  "species": ["Y", "Y", "Y", "Y", "Pm"],
  "frac_coords": [[0.0000, 0.0000, 0.0000], [0.5000, 0.0000, 0.5000], [0.0000, 0.5000, 0.5000], [0.5000, 0.5000, 0.0000], [0.5000, 0.5000, 0.5000]],
  "n_ef_per_ev_fu": 8.1,
  "de_polymorph_kj_per_mol_atoms": 61.5,
  "sg": "Pm-3m",
  "energy_ry_per_atom": -0.402,
  "ef_ev_per_fu": 3.3
}

{
  "formula": "LuZnNi",
  "functional": "PBE",
  "state": "relaxed",
  "lattice": [[3.3615, 0.0000, 0.0000], [0.0000, 4.2502, 0.0000], [0.0000, -2.1251, 3.6808]],
  "species": ["Ni", "Zn", "Lu"],
  "frac_coords": [[0.1671, 0.0000, 0.0000], [0.1664, 0.6667, 0.3333], [0.6664, 0.3333, 0.6667]],
  "n_ef_per_ev_fu": 1.9,
  "sg": "P-6m2",
  "energy_ry_per_atom": -0.313,
  "ef_ev_per_fu": -1.2
}

{
  "formula": "La2HgSeI",
  "functional": "PBE",
  "state": "relaxed",
  "lattice": [[5.9451, 0.0000, 0.0000], [0.0000, 5.7330, 0.0000], [0.0000, 0.0000, 5.9451]],
  "species": ["I", "Hg", "Se", "La", "La"],
  "frac_coords": [[0.0000, 0.0000, 0.0000], [0.5000, 0.5000, 0.5000], [0.0000, 0.5000, 0.0000], [0.0000, 0.0000, 0.5000], [0.5000, 0.0000, 0.0000]],
  "n_ef_per_ev_fu": 4.3,
  "de_polymorph_kj_per_mol_atoms": 25.7,
  "formation_energy_uncorrected_kj_per_mol_atoms": -2.47,
  "sg": "P4/mmm",
  "energy_ry_per_atom": -0.225
}

{
  "formula": "PIrCl",
  "functional": "PBE",
  "state": "relaxed",
  "lattice": [[3.5174, 0.0000, 0.0000], [-1.7587, 3.0461, 0.0000], [0.0000, 0.0000, 5.5873]],
  "species": ["Cl", "Ir", "P"],
  "frac_coords": [[0.0000, 0.0000, 0.0688], [0.6667, 0.3333, 0.3731], [0.3333, 0.6667, 0.5580]],
  "n_ef_per_ev_fu": 2.7,
  "de_polymorph_kj_per_mol_atoms": 0.0,
  "formation_energy_uncorrected_kj_per_mol_atoms": -23.72,
  "sg": "P3m1",
  "energy_ry_per_atom": -0.413
}

{
  "formula": "Ba6Na2AgIr",
  "functional": "PBE",
  "state": "relaxed",
  "lattice": [[9.0677, 0.0021, 0.0046], [0.0021, 9.0678, 0.0044], [-4.5341, -4.5338, 6.4072]],
  "species": ["Ba", "Ba", "Ba", "Ba", "Ba", "Ba", "Na", "Na", "Ag", "Ir"],
  "frac_coords": [[0.7390, 0.7397, 0.9996], [0.7392, 0.7396, 0.4782], [0.2607, 0.2610, 0.9997], [0.7392, 0.2611, 0.9996], [0.2603, 0.2609, 0.5208], [0.2605, 0.7396, 0.9998], [0.7504, 0.2507, 0.5007], [0.2503, 0.7509, 0.5007], [0.9997, 0.0002, 0.9994], [0.4997, 0.5002, 0.9994]],
  "n_ef_per_ev_fu": 6.9,
  "sg": "I4mm",
  "energy_ry_per_atom": -0.199,
  "ef_ev_per_fu": -1.2
}

{
  "formula": "AsHPt3",
  "functional": "PBE",
  "state": "relaxed",
  "lattice": [[-2.9853, 0.7123, -2.7023], [2.6812, -0.3849, -3.0635], [-0.7880, -4.0083, -0.1860]],
  "species": ["H", "As", "Pt", "Pt", "Pt"],
  "frac_coords": [[0.0000, 0.0000, 0.0000], [0.5000, 0.5000, 0.5000], [0.0000, 0.5000, 0.0000], [0.0000, 0.0000, 0.5000], [0.5000, 0.0000, 0.0000]],
  "n_ef_per_ev_fu": 4.7,
  "de_polymorph_kj_per_mol_atoms": 0.0,
  "sg": "Pm-3m",
  "energy_ry_per_atom": -0.373
}

{
  "formula": "TlCr2SnIr",
  "functional": "PBE",
  "state": "relaxed",
  "lattice": [[5.1866, 0.0000, 0.0000], [0.0000, 4.9340, 0.0000], [0.0000, 0.0000, 5.1866]],
  "species": ["Cr", "Cr", "Tl", "Ir", "Sn"],
  "frac_coords": [[0.0000, 0.0000, 0.5000], [0.5000, 0.0000, 0.0000], [0.5000, 0.5000, 0.5000], [0.0000, 0.5000, 0.0000], [0.0000, 0.0000, 0.0000]],
  "n_ef_per_ev_fu": 5.8,
  "sg": "P4/mmm",
  "energy_ry_per_atom": -0.415,
  "ef_ev_per_fu": 6.3
}

{
  "formula": "Cs2PmTe6",
  "functional": "PBE",
  "state": "relaxed",
  "lattice": [[-1.9199, -4.7241, -1.0719], [4.1080, -5.3487, 6.9890], [-4.7376, -2.0354, 8.2305]],
  "species": ["Cs", "Cs", "Pm", "Te", "Te", "Te", "Te", "Te", "Te"],
  "frac_coords": [[0.5733, 0.6726, 0.6726], [0.4267, 0.3274, 0.3274], [0.0000, 0.0000, 0.0000], [0.1029, 0.3263, 0.9915], [0.8971, 0.0085, 0.6737], [0.8971, 0.6737, 0.0085], [0.5000, 0.2029, 0.7971], [0.1029, 0.9915, 0.3263], [0.5000, 0.7971, 0.2029]],
  "n_ef_per_ev_fu": 3.8,
  "formation_energy_uncorrected_kj_per_mol_atoms": -70.09,
  "sg": "C2/m",
  "energy_ry_per_atom": -0.260
}

{
  "formula": "ZrVS3",
  "functional": "PBE",
  "state": "relaxed",
  "lattice": [[4.5449, 0.0000, 0.0000], [0.0000, 4.5449, 0.0000], [0.0000, 0.0000, 4.5449]],
  "species": ["S", "S", "S", "Zr", "V"],
  "frac_coords": [[0.0000, 0.5000, 0.0000], [0.0000, 0.0000, 0.5000], [0.5000, 0.0000, 0.0000], [0.5000, 0.5000, 0.5000], [0.0000, 0.0000, 0.0000]],
  "n_ef_per_ev_fu": 5.3,
  "de_polymorph_kj_per_mol_atoms": 76.2,
  "formation_energy_uncorrected_kj_per_mol_atoms": -38.39,
  "sg": "Pm-3m",
  "energy_ry_per_atom": -0.471
}